# PBE+U Li2Ti3V3O12, relaxed
# - total DFT energy (no corrections) (eV/atom) = -7.903
# - calculated density (g/cm³) = 3.57
data_Li2Ti3V3O12
_chemical_formula_sum 'Li2 Ti3 V3 O12'
_symmetry_space_group_name_H-M 'P -1'
_symmetry_Int_Tables_number 2
_cell_length_a 5.194
_cell_length_b 6.076
_cell_length_c 7.984
_cell_angle_alpha 77.43
_cell_angle_beta 77.56
_cell_angle_gamma 74.62
loop_
_symmetry_equiv_pos_as_xyz
'x,y,z'
'-x,-y,-z'
loop_
_atom_site_label
_atom_site_type_symbol
_atom_site_fract_x
_atom_site_fract_y
_atom_site_fract_z
Li1 Li 0.000 0.000 0.000
Li2 Li 0.500 0.500 0.500
Ti1 Ti 0.000 0.500 0.000
Ti2 Ti 0.005 0.816 0.661
V1 V 0.493 0.335 0.165
V2 V 0.500 0.000 0.500
O1 O 0.204 0.197 0.101
O2 O 0.228 0.531 0.757
O3 O 0.235 0.863 0.435
O4 O 0.258 0.639 0.062
O5 O 0.266 0.301 0.407
O6 O 0.274 0.967 0.725